# 1
{
  "formula": "BaLiAlGa6",
  "functional": "GGA-PBE",
  "state": "relaxed",
  "cell": [[-4.133, 5.178, 4.891], [4.133, -5.178, 4.891], [4.133, 5.178, -4.891]],
  "species": ["Ba", "Ba", "Li", "Li", "Al", "Al", "Ga", "Ga", "Ga", "Ga", "Ga", "Ga", "Ga", "Ga", "Ga", "Ga", "Ga", "Ga"],
  "frac_coords": [[0.482, 0.232, 0.250], [0.518, 0.768, 0.750], [0.000, 0.000, 0.500], [0.000, 0.500, 0.000], [0.000, 0.500, 0.500], [0.500, 0.500, 0.000], [0.083, 0.313, 0.149], [0.083, 0.934, 0.770], [0.127, 0.877, 0.250], [0.159, 0.409, 0.750], [0.336, 0.066, 0.649], [0.336, 0.687, 0.270], [0.664, 0.313, 0.730], [0.664, 0.934, 0.351], [0.841, 0.591, 0.250], [0.873, 0.123, 0.750], [0.917, 0.066, 0.230], [0.917, 0.687, 0.851]],
  "spacegroup": "Imma, No. 74",
  "crystal_system": "orthorhombic",
  "energy_ev_per_cell": -51.89,
  "delta_e_f_ev_per_atom": -0.023,
  "magmom_total_mub_per_fu": 0.0,
  "n_ef_per_ev_atom": 0.46
}

# 2
{
  "formula": "Ba2LiAl3Ga4",
  "functional": "GGA-PBE",
  "state": "relaxed",
  "cell": [[4.620, 0.000, 0.000], [0.000, 4.620, 0.000], [0.000, 0.000, 10.973]],
  "species": ["Ba", "Ba", "Li", "Al", "Al", "Al", "Ga", "Ga", "Ga", "Ga"],
  "frac_coords": [[0.000, 0.500, 0.245], [0.500, 0.000, 0.755], [0.000, 0.000, 0.500], [0.000, 0.500, 0.871], [0.500, 0.000, 0.129], [0.500, 0.500, 0.500], [0.000, 0.000, 0.000], [0.000, 0.500, 0.629], [0.500, 0.000, 0.371], [0.500, 0.500, 0.000]],
  "spacegroup": "P-4m2, No. 115",
  "crystal_system": "tetragonal",
  "energy_ev_per_cell": -32.61,
  "delta_e_f_ev_per_atom": -0.351,
  "magmom_total_mub_per_fu": 0.0,
  "n_ef_per_ev_atom": 0.47
}

# 3
{
  "formula": "Ba2LiAl4Ga3",
  "functional": "GGA-PBE",
  "state": "relaxed",
  "cell": [[4.550, 0.000, 0.000], [0.000, 4.550, 0.000], [0.000, 0.000, 11.248]],
  "species": ["Ba", "Ba", "Li", "Al", "Al", "Al", "Al", "Ga", "Ga", "Ga"],
  "frac_coords": [[0.000, 0.500, 0.247], [0.500, 0.000, 0.753], [0.000, 0.000, 0.500], [0.000, 0.000, 0.000], [0.000, 0.500, 0.629], [0.500, 0.000, 0.371], [0.500, 0.500, 0.000], [0.000, 0.500, 0.868], [0.500, 0.000, 0.132], [0.500, 0.500, 0.500]],
  "spacegroup": "P-4m2, No. 115",
  "crystal_system": "tetragonal",
  "energy_ev_per_cell": -32.87,
  "delta_e_f_ev_per_atom": -0.306,
  "magmom_total_mub_per_fu": 0.0,
  "n_ef_per_ev_atom": 0.40
}

# 4
{
  "formula": "BaLiAl2Ga2",
  "functional": "GGA-PBE",
  "state": "relaxed",
  "cell": [[4.461, 0.000, 0.000], [-2.230, 3.863, 0.000], [0.000, 0.000, 7.883]],
  "species": ["Ba", "Li", "Al", "Al", "Ga", "Ga"],
  "frac_coords": [[0.000, 0.000, 0.000], [0.000, 0.000, 0.500], [0.333, 0.667, 0.663], [0.667, 0.333, 0.337], [0.333, 0.667, 0.295], [0.667, 0.333, 0.705]],
  "spacegroup": "P-3m1, No. 164",
  "crystal_system": "trigonal",
  "energy_ev_per_cell": -19.24,
  "delta_e_f_ev_per_atom": -0.310,
  "magmom_total_mub_per_fu": 0.0,
  "n_ef_per_ev_atom": 0.42
}

# 5
{
  "formula": "BaLiAlGa2",
  "functional": "GGA-PBE",
  "state": "relaxed",
  "cell": [[4.581, 0.000, 0.000], [0.000, 4.581, 0.000], [0.000, 0.000, 11.205]],
  "species": ["Ba", "Ba", "Li", "Li", "Al", "Al", "Ga", "Ga", "Ga", "Ga"],
  "frac_coords": [[0.000, 0.000, 0.000], [0.500, 0.500, 0.500], [0.000, 0.500, 0.750], [0.500, 0.000, 0.250], [0.000, 0.500, 0.250], [0.500, 0.000, 0.750], [0.000, 0.000, 0.381], [0.000, 0.000, 0.619], [0.500, 0.500, 0.119], [0.500, 0.500, 0.881]],
  "spacegroup": "I-4m2, No. 119",
  "crystal_system": "tetragonal",
  "energy_ev_per_cell": -30.71,
  "delta_e_f_ev_per_atom": -0.345,
  "magmom_total_mub_per_fu": 0.0,
  "n_ef_per_ev_atom": 0.80
}

# 6
{
  "formula": "Ba2MgAl4Ga3",
  "functional": "GGA-PBE",
  "state": "relaxed",
  "cell": [[4.580, 0.000, 0.000], [0.000, 4.580, 0.000], [0.000, 0.000, 11.367]],
  "species": ["Ba", "Ba", "Mg", "Al", "Al", "Al", "Al", "Ga", "Ga", "Ga"],
  "frac_coords": [[0.000, 0.500, 0.244], [0.500, 0.000, 0.756], [0.000, 0.000, 0.500], [0.000, 0.000, 0.000], [0.000, 0.500, 0.638], [0.500, 0.000, 0.362], [0.500, 0.500, 0.000], [0.000, 0.500, 0.872], [0.500, 0.000, 0.128], [0.500, 0.500, 0.500]],
  "spacegroup": "P-4m2, No. 115",
  "crystal_system": "tetragonal",
  "energy_ev_per_cell": -32.54,
  "delta_e_f_ev_per_atom": -0.305,
  "magmom_total_mub_per_fu": 0.0,
  "n_ef_per_ev_atom": 0.28
}